1.
First-principles (GGA-PBE) data for TiMnPdRh after structural relaxation, as listed in Alexandria via LeMat-Bulk.

Unit cell a=6.205 b=6.205 c=6.205 alpha=90.00 beta=90.00 gamma=90.00
Space group F-43m (No. 216)
Asymmetric unit:
1 Ti 0.000 0.000 0.000 [4 per cell]
2 Mn 0.000 0.000 0.500 [4 per cell]
3 Pd 0.250 0.250 0.750 [4 per cell]
4 Rh 0.250 0.250 0.250 [4 per cell]

Calculated values
**Raw total energy**: -7.85 eV per atom

=====

2.
First-principles (GGA-PBE) data for Ti5MnPd2Rh2 after structural relaxation, as listed in Alexandria via LeMat-Bulk.

Unit cell a=10.428 b=10.428 c=2.943 alpha=90.00 beta=90.00 gamma=90.00
Space group P4/mbm (No. 127)
Asymmetric unit:
1 Ti 0.000 0.500 0.000 [2 per cell]
2 Ti 0.116 0.158 0.000 [8 per cell]
3 Mn 0.000 0.000 0.500 [2 per cell]
4 Pd 0.157 0.657 0.500 [4 per cell]
5 Rh 0.141 0.359 0.500 [4 per cell]

Calculated values
**Raw total energy**: -7.72 eV per atom

=====

3.
First-principles (GGA-PBE) data for TmMnPdRh after structural relaxation, as listed in Alexandria via LeMat-Bulk.

Unit cell a=6.510 b=6.510 c=6.510 alpha=90.00 beta=90.00 gamma=90.00
Space group F-43m (No. 216)
Asymmetric unit:
1 Tm 0.000 0.000 0.000 [4 per cell]
2 Mn 0.000 0.000 0.500 [4 per cell]
3 Pd 0.250 0.250 0.750 [4 per cell]
4 Rh 0.250 0.250 0.250 [4 per cell]

Calculated values
**Raw total energy**: -7.11 eV per atom

=====

4.
First-principles (GGA-PBE) data for Mn2PdRu2 after structural relaxation, as listed in Alexandria via LeMat-Bulk.

Unit cell a=7.054 b=7.054 c=2.675 alpha=90.00 beta=90.00 gamma=90.00
Space group P4/mbm (No. 127)
Asymmetric unit:
1 Mn 0.121 0.379 0.000 [4 per cell]
2 Pd 0.000 0.000 0.000 [2 per cell]
3 Ru 0.169 0.669 0.500 [4 per cell]

Calculated values
**Raw total energy**: -8.27 eV per atom

=====

5.
First-principles (GGA-PBE) data for MnPdRu after structural relaxation, as listed in Alexandria via LeMat-Bulk.

Unit cell a=6.659 b=5.348 c=4.657 alpha=90.00 beta=103.56 gamma=90.00
Space group P2_1/c (No. 14)
Asymmetric unit:
1 Mn 0.146 0.122 0.469 [4 per cell]
2 Pd 0.494 0.126 0.251 [4 per cell]
3 Ru 0.151 0.626 0.460 [4 per cell]

Calculated values
**Raw total energy**: -7.79 eV per atom

=====

6.
First-principles (GGA-PBE) data for Mn2PdRu2 after structural relaxation, as listed in Alexandria via LeMat-Bulk.

Unit cell a=3.852 b=3.852 c=9.656 alpha=90.00 beta=90.00 gamma=90.00
Space group I4/mmm (No. 139)
Asymmetric unit:
1 Mn 0.000 0.000 0.105 [4 per cell]
2 Pd 0.000 0.000 0.500 [2 per cell]
3 Ru 0.000 0.500 0.250 [4 per cell]

Calculated values
**Raw total energy**: -8.03 eV per atom

=====

7.
First-principles (GGA-PBE) data for MnPdRu3 after structural relaxation, as listed in Alexandria via LeMat-Bulk.

Unit cell a=4.381 b=4.381 c=4.381 alpha=90.00 beta=90.00 gamma=90.00
Space group Pm-3m (No. 221)
Asymmetric unit:
1 Mn 0.000 0.000 0.000 [1 per cell]
2 Pd 0.500 0.500 0.500 [1 per cell]
3 Ru 0.000 0.000 0.500 [3 per cell]

Calculated values
**Raw total energy**: -7.19 eV per atom

=====

8.
First-principles (GGA-PBE) data for MnPd3Ru after structural relaxation, as listed in Alexandria via LeMat-Bulk.

Unit cell a=4.457 b=4.457 c=4.457 alpha=90.00 beta=90.00 gamma=90.00
Space group Pm-3m (No. 221)
Asymmetric unit:
1 Mn 0.000 0.000 0.000 [1 per cell]
2 Pd 0.000 0.000 0.500 [3 per cell]
3 Ru 0.500 0.500 0.500 [1 per cell]

Calculated values
**Raw total energy**: -5.42 eV per atom